Entry 1:
VASP calculation (PBE-GGA) on crystalline GaFeCuPt at its relaxed geometry.

Geometry as extended XYZ:
```
4
Lattice="0.000 3.022 3.022 3.022 0.000 3.022 3.022 3.022 0.000" Properties=species:S:1:pos:R:3 pbc="T T T"
Ga 0.000 0.000 0.000
Fe 3.022 3.022 3.022
Cu 1.511 1.511 1.511
Pt 4.533 4.533 4.533
```

Values from the calculation:
As for the crystal system: cubic. The total magnetization comes out at 3.2 μB/f.u. The excess energy over the best structure of this formula in the dataset comes out at 0 kJ/mol of formula units. Its space group is F-43m. The value obtained for the total energy is -21.9 eV per cell.

***

Entry 2:
VASP calculation (PBE-GGA) on crystalline Ni3Bi2Se2 at its relaxed geometry.

Geometry as extended XYZ:
```
14
Lattice="5.640 -4.112 0.000 5.640 4.112 0.000 -5.570 0.000 5.939" Properties=species:S:1:pos:R:3 pbc="T T T"
Ni 2.820 2.056 0.000
Ni 5.640 2.245 0.000
Ni 1.484 0.000 4.226
Ni 2.820 -2.056 0.000
Ni 4.226 0.000 1.714
Ni 5.640 -2.245 0.000
Bi 1.461 0.000 1.441
Bi -1.259 0.000 4.752
Bi 6.969 0.000 1.187
Bi 4.249 0.000 4.498
Se 1.491 2.317 4.108
Se 4.219 2.317 1.832
Se 1.491 -2.317 4.108
Se 4.219 -2.317 1.832
```

Values from the calculation:
As for the crystal system: monoclinic. The total magnetization comes out at 0.0 μB/f.u. Its space group is C2/m. The value obtained for the total energy is -67.0 eV per cell.

***

Entry 3:
VASP calculation (PBE-GGA) on crystalline GdGePt2 at its relaxed geometry.

Geometry as extended XYZ:
```
8
Lattice="5.631 0.000 0.000 0.000 3.876 0.000 -0.090 0.000 7.272" Properties=species:S:1:pos:R:3 pbc="T T T"
Gd 0.876 0.969 1.424
Gd 4.665 2.907 5.849
Ge 2.160 0.969 4.883
Ge 3.381 2.907 2.389
Pt 1.032 2.907 3.632
Pt 1.856 2.907 6.588
Pt 3.685 0.969 0.684
Pt 4.509 0.969 3.640
```

Values from the calculation:
As for the crystal system: monoclinic. The total magnetization comes out at 0.0 μB/f.u. Its space group is P2_1/m. The value obtained for the total energy is -49.4 eV per cell.

***

Entry 4:
VASP calculation (PBE-GGA) on crystalline Ni3AgGe5 at its relaxed geometry.

Geometry as extended XYZ:
```
9
Lattice="4.888 0.000 0.000 -2.444 4.233 0.000 0.000 0.000 6.975" Properties=species:S:1:pos:R:3 pbc="T T T"
Ni -1.222 2.117 0.000
Ni 2.444 0.000 0.000
Ni 1.222 2.117 0.000
Ag 0.000 0.000 3.488
Ge 0.000 0.000 0.000
Ge 0.000 2.822 2.102
Ge 0.000 2.822 4.873
Ge 2.444 1.411 2.102
Ge 2.444 1.411 4.873
```

Values from the calculation:
As for the crystal system: hexagonal. The total magnetization comes out at 0.0 μB/f.u. Its space group is P6/mmm. The value obtained for the total energy is -42.7 eV per cell.

***

Repeat the fourth record exactly.
VASP calculation (PBE-GGA) on crystalline Ni3AgGe5 at its relaxed geometry.

Geometry as extended XYZ:
```
9
Lattice="4.888 0.000 0.000 -2.444 4.233 0.000 0.000 0.000 6.975" Properties=species:S:1:pos:R:3 pbc="T T T"
Ni -1.222 2.117 0.000
Ni 2.444 0.000 0.000
Ni 1.222 2.117 0.000
Ag 0.000 0.000 3.488
Ge 0.000 0.000 0.000
Ge 0.000 2.822 2.102
Ge 0.000 2.822 4.873
Ge 2.444 1.411 2.102
Ge 2.444 1.411 4.873
```

Values from the calculation:
As for the crystal system: hexagonal. The total magnetization comes out at 0.0 μB/f.u. Its space group is P6/mmm. The value obtained for the total energy is -42.7 eV per cell.